## ErSc4 (PBE)

Data for crystalline ErSc4 at its relaxed geometry.

Calculated values
The value obtained for the total DFT energy (no corrections) is -25.56 eV per cell. For the density of states at the Fermi level, the calculation gives 8.29 states/eV/f.u. The value obtained for the calculated density is 4.03 Mg/m³. Its energy relative to the lowest polymorph listed for this composition is 816 meV per atom. For the calculated formation energy, the calculation gives 0.87 eV per atom.

a b c (Å): 5.2291 5.2291 5.2291
angles (deg): 90.00 90.00 90.00
Sites, in units of the cell vectors:
1 Sc 0.0000 0.0000 0.0000
2 Sc 0.5000 0.5000 0.0000
3 Sc 0.0000 0.5000 0.5000
4 Sc 0.5000 0.0000 0.5000
5 Er 0.5000 0.5000 0.5000